Record 1
A geometry-optimized FeHPt2 structure, computed with PBE.

Cell: 6.1642 6.1642 5.0605 Å, 52.48 52.48 90.00°
Element x y z (fractional)
1 Pt 0.8750 0.7805 0.7500
2 Pt 0.5305 0.1250 0.2500
3 Pt 0.3750 0.4695 0.7500
4 Pt 0.2195 0.6250 0.2500
5 H 0.5000 0.5000 0.0000
6 H 0.2500 0.7500 0.5000
7 Fe 0.0000 0.0000 0.0000
8 Fe 0.7500 0.2500 0.5000

Computed properties:
- raw total energy (eV/cell) = -47.321
- crystal system = tetragonal
- density of states at the Fermi level (states/eV per cell) = 5.59
- symmetry = I-42d
- energy above the lowest structure with this stoichiometry (eV/atom) = 0.031



Record 2
A geometry-optimized Ta2CoPb structure, computed with PBE.

Cell: 5.4615 5.4615 5.4615 Å, 146.09 127.46 64.02°
Element x y z (fractional)
1 Ta 0.7152 0.2152 0.5000
2 Ta 0.9873 0.9873 0.0000
3 Pb 0.2783 0.7783 0.5000
4 Co 0.5192 0.5192 0.0000

Computed properties:
- raw total energy (eV/cell) = -33.034
- formation enthalpy at 0 K (eV per atom) = 0.37
- crystal system = orthorhombic
- density of states at the Fermi level (states/eV per cell) = 3.97
- symmetry = Imm2



Record 3
A geometry-optimized Pm4AsS2N structure, computed with PBE.

Cell: 4.0168 6.9898 14.2261 Å, 90.00 90.00 106.70°
Element x y z (fractional)
1 S 0.3640 0.7279 0.5571
2 S 0.6360 0.2721 0.4429
3 S 0.3640 0.7279 0.9429
4 S 0.6360 0.2721 0.0571
5 As 0.8927 0.7853 0.2500
6 As 0.1073 0.2147 0.7500
7 Pm 0.4311 0.8622 0.7500
8 Pm 0.2706 0.5412 0.3707
9 Pm 0.5689 0.1378 0.2500
10 Pm 0.7294 0.4588 0.8707
11 Pm 0.0000 0.0000 0.0000
12 Pm 0.7294 0.4588 0.6293
13 Pm 0.0000 0.0000 0.5000
14 Pm 0.2706 0.5412 0.1293
15 N 0.8388 0.6776 0.7500
16 N 0.1612 0.3224 0.2500

Computed properties:
- raw total energy (eV/cell) = -106.608
- crystal system = orthorhombic
- density of states at the Fermi level (states/eV per cell) = 7.25
- symmetry = Cmcm



Record 4
A geometry-optimized Y2NiGe structure, computed with PBE.

Cell: 4.1499 5.8181 7.7527 Å, 110.20 90.00 90.00°
Element x y z (fractional)
1 Y 0.2500 0.7799 0.0558
2 Y 0.2500 0.7773 0.5877
3 Y 0.7500 0.2227 0.4123
4 Y 0.7500 0.2201 0.9442
5 Ni 0.2500 0.3693 0.2164
6 Ni 0.7500 0.6307 0.7836
7 Ge 0.2500 0.3384 0.7088
8 Ge 0.7500 0.6616 0.2912

Computed properties:
- raw total energy (eV/cell) = -52.194
- formation enthalpy at 0 K (eV per atom) = -0.69
- crystal system = monoclinic
- density of states at the Fermi level (states/eV per cell) = 2.41
- symmetry = P2_1/m



Record 5
A geometry-optimized AsPtRh2 structure, computed with PBE.

Cell: 2.8218 4.7202 4.5781 Å, 90.00 90.00 90.00°
Element x y z (fractional)
1 Rh 0.5000 0.5000 0.0000
2 Rh 0.0000 0.0000 0.0000
3 As 0.5000 0.0000 0.5000
4 Pt 0.0000 0.5000 0.5000

Computed properties:
- raw total energy (eV/cell) = -25.308
- formation enthalpy at 0 K (eV per atom) = 0.02
- crystal system = orthorhombic
- density of states at the Fermi level (states/eV per cell) = 4.06
- symmetry = Pmmm



Record 6
A geometry-optimized CaYSc structure, computed with PBE.

Cell: 5.3029 5.3029 11.5002 Å, 90.00 90.00 120.00°
Element x y z (fractional)
1 Ca 0.3333 0.6667 0.2500
2 Ca 0.6667 0.3333 0.7500
3 Sc 0.0000 0.0000 0.2500
4 Sc 0.0000 0.0000 0.7500
5 Y 0.0000 0.0000 0.0000
6 Y 0.0000 0.0000 0.5000

Computed properties:
- raw total energy (eV/cell) = -20.913
- formation enthalpy at 0 K (eV per atom) = 1.45
- crystal system = hexagonal
- density of states at the Fermi level (states/eV per cell) = 12.20
- symmetry = P6_3/mmc
- energy above the lowest structure with this stoichiometry (eV/atom) = 1.371